No. 1
Entry from the Alexandria database: an optimized crystal structure of TmAgAu (PBE).

Properties
- Symmetry: No. 12
- Energy relative to the lowest polymorph listed for this composition: 129 meV per atom
- Calculated formation energy: -0.5055 eV per atom
- Total magnetic moment: 0.000 μB/atom

The structure in extended XYZ format:
```
6
Lattice="3.931 0.000 0.000 -1.966 4.970 -0.308 0.000 -2.422 7.065" Properties=species:S:1:pos:R:3 pbc="T T T"
Au 1.966 -0.224 4.547
Au 0.000 2.772 2.209
Tm 0.000 1.818 4.966
Tm 1.966 0.730 1.791
Ag 1.966 3.586 0.180
Ag 0.000 -1.038 6.577
```



No. 2
Entry from the Alexandria database: an optimized crystal structure of Tm6Ag5Au (PBE).

Properties
- Symmetry: No. 65
- Calculated formation energy: -0.4386 eV per atom
- Total magnetic moment: 0.000 μB/atom

The structure in extended XYZ format:
```
12
Lattice="4.828 -0.028 1.608 0.038 7.095 0.013 0.001 -0.014 8.040" Properties=species:S:1:pos:R:3 pbc="T T T"
Au 0.000 0.000 0.000
Tm 4.042 1.740 3.998
Tm 4.061 5.299 4.004
Tm 2.443 5.332 0.814
Tm 0.826 5.313 5.663
Tm 0.806 1.754 5.657
Tm 2.424 1.735 0.807
Ag 3.237 3.519 6.442
Ag 0.019 3.548 0.006
Ag 3.241 -0.028 6.368
Ag 1.630 3.533 3.219
Ag 1.588 -0.014 3.280
```



No. 3
Entry from the Alexandria database: an optimized crystal structure of TmAgAu6 (PBE).

Properties
- Symmetry: No. 12
- Calculated formation energy: -0.3648 eV per atom
- Total magnetic moment: 0.000 μB/atom

The structure in extended XYZ format:
```
8
Lattice="4.049 0.000 1.105 1.867 4.681 1.130 0.010 -0.131 7.933" Properties=species:S:1:pos:R:3 pbc="T T T"
Au 2.654 4.053 6.218
Au 4.221 2.822 8.449
Au 3.423 3.449 3.402
Au 1.706 1.728 1.720
Au 2.504 1.101 6.767
Au 3.273 0.497 3.951
Tm 0.000 0.000 0.000
Ag 0.939 2.275 4.532
```



| no. | V (Å³/cell) |
| --- | --- |
| 1 | 135.1 |
| 2 | 275.4 |
| 3 | 150.7 |